VASP calculation (PBE) on a geometry-optimized Li3Zn2Ir structure.

Output
ΔH_f (0 K) = -0.23 eV/atom
Symmetry = No. 15

a = 4.660 Å, b = 4.660 Å, c = 8.543 Å
α = 101.34°, β = 101.34°, γ = 107.16°
Sites, in units of the cell vectors:
Li 0.202 0.453 0.402
Li 0.547 0.798 0.098
Li 0.798 0.547 0.598
Li 0.453 0.202 0.902
Li 0.625 0.375 0.250
Li 0.375 0.625 0.750
Zn 0.040 0.290 0.080
Zn 0.710 0.960 0.420
Zn 0.960 0.710 0.920
Zn 0.290 0.040 0.580
Ir 0.125 0.875 0.250
Ir 0.875 0.125 0.750